Ba3NbCr2O9: optimized geometry, PBE+U.

```
data_Ba3NbCr2O9
_cell_length_a 5.7390
_cell_length_b 5.7390
_cell_length_c 7.0390
_cell_angle_alpha 90.00
_cell_angle_beta 90.00
_cell_angle_gamma 120.00
_symmetry_space_group_name_H-M 'P -3 m 1'
_symmetry_Int_Tables_number 164
_symmetry_space_group_name_Hall '-P 3 2"'
loop_
_atom_site_label
_atom_site_type_symbol
_atom_site_fract_x
_atom_site_fract_y
_atom_site_fract_z
Ba1 Ba 0.0000 0.0000 0.0000
Ba2 Ba 0.3333 0.6667 0.6739
Nb1 Nb 0.0000 0.0000 0.5000
Cr1 Cr 0.3333 0.6667 0.1597
O1 O 0.0000 0.5000 0.0000
O2 O 0.1667 0.3334 0.3334
```

Values from the calculation:
**Density**: 6.23 g/cm3
**V**: 200.8 Å³ per cell
**Total DFT energy (no corrections)**: -7.479 eV per atom
**Spin magnetization**: 5.0 μB per formula unit